Record 1
A geometry-optimized U6VSe12 structure. Source: Alexandria, functional PBE.

Unit cell a=8.1688 b=8.1688 c=8.1688 alpha=90.96 beta=90.96 gamma=90.96
Last column: magnetic moment on the atom in μB.
Atoms (fractional coordinates):
U 0.4207 0.9172 0.7448  2.40
U 0.0828 0.2552 0.5793  2.40
U 0.9172 0.7448 0.4207  2.40
U 0.5793 0.0828 0.2552  2.40
U 0.7448 0.4207 0.9172  2.40
U 0.2552 0.5793 0.0828  2.40
Se 0.3027 0.9302 0.0841  -0.07
Se 0.5845 0.8061 0.4562  -0.09
Se 0.9302 0.0841 0.3027  -0.07
Se 0.0841 0.3027 0.9302  -0.07
Se 0.4155 0.1939 0.5438  -0.09
Se 0.6973 0.0698 0.9159  -0.07
Se 0.4562 0.5845 0.8061  -0.09
Se 0.9159 0.6973 0.0698  -0.07
Se 0.0698 0.9159 0.6973  -0.07
Se 0.5438 0.4155 0.1939  -0.09
Se 0.8061 0.4562 0.5845  -0.09
Se 0.1939 0.5438 0.4155  -0.09
V 0.0000 0.0000 0.0000  2.30

Properties
- space-group type = R-3, No. 148
- E (eV/atom) = -7.23
- total magnetization (μB per formula unit) = 17.000
- crystal system = trigonal
- density of states at the Fermi level (states/eV/f.u.) = 33.98

Record 2
A geometry-optimized YRh3Au structure. Source: Alexandria, functional PBE.

Unit cell a=4.8597 b=4.8597 c=4.8597 alpha=90.00 beta=90.00 gamma=90.00
Last column: magnetic moment on the atom in μB.
Atoms (fractional coordinates):
Rh 0.0000 0.5000 0.0000  0.08
Rh 0.5000 0.0000 0.0000  0.05
Rh 0.0000 0.0000 0.5000  0.11
Y 0.5000 0.5000 0.5000  -0.01
Au 0.0000 0.0000 0.0000  0.03

Properties
- space-group type = Pm-3m, No. 221
- total magnetization (μB per formula unit) = 0.270
- energy relative to the elements (meV/atom) = 812
- crystal system = cubic
- density of states at the Fermi level (states/eV/f.u.) = 11.52
- excess energy over the best structure of this formula in the dataset (meV per atom) = 0

Record 3
A geometry-optimized Rb2NdPd3F12 structure. Source: Alexandria, functional PBE.

Unit cell a=7.1593 b=7.1593 c=7.1593 alpha=71.01 beta=71.01 gamma=71.01
Atoms (fractional coordinates):
F 0.3719 0.8724 0.8724
F 0.2564 0.9202 0.2564
F 0.7436 0.0798 0.7436
F 0.2564 0.2564 0.9202
F 0.8724 0.3719 0.8724
F 0.1276 0.6281 0.1276
F 0.1276 0.1276 0.6281
F 0.8724 0.8724 0.3719
F 0.0798 0.7436 0.7436
F 0.9202 0.2564 0.2564
F 0.6281 0.1276 0.1276
F 0.7436 0.7436 0.0798
Rb 0.3774 0.3774 0.3774
Rb 0.6226 0.6226 0.6226
Pd 0.5000 0.0000 0.0000
Pd 0.0000 0.5000 0.0000
Pd 0.0000 0.0000 0.5000
Nd 0.0000 0.0000 0.0000

Properties
- space-group type = R-3m, No. 166
- E (eV/atom) = -4.65
- total magnetization (μB per formula unit) = 0.040
- crystal system = trigonal
- density of states at the Fermi level (states/eV/f.u.) = 6.10

Record 4
A geometry-optimized Nd6Ag5Sb structure. Source: Alexandria, functional PBE.

Unit cell a=5.3037 b=9.2801 c=9.2801 alpha=120.09 beta=106.61 gamma=106.61
Last column: magnetic moment on the atom in μB.
Atoms (fractional coordinates):
Nd 0.2509 0.4177 0.0837  0.12
Nd 0.7491 0.5823 0.9163  0.12
Nd 0.7491 0.9163 0.5823  0.12
Nd 0.2509 0.0837 0.4177  0.12
Nd 0.7517 0.2514 0.2514  0.16
Nd 0.2483 0.7486 0.7486  0.16
Ag 0.5000 0.8257 0.1743  0.02
Ag 0.0000 0.3322 0.6678  0.01
Ag 0.0000 0.6678 0.3322  0.01
Ag 0.5000 0.5000 0.5000  0.02
Ag 0.5000 0.1743 0.8257  0.02
Sb 0.0000 0.0000 0.0000  -0.01

Properties
- space-group type = Immm, No. 71
- E (eV/atom) = -4.29
- total magnetization (μB per formula unit) = 1.653
- crystal system = orthorhombic
- density of states at the Fermi level (states/eV/f.u.) = 12.83

Record 5
A geometry-optimized Fe2Ni9Sn structure. Source: Alexandria, functional PBE.

Unit cell a=3.6233 b=3.6233 c=10.7348 alpha=90.00 beta=90.00 gamma=90.00
Last column: magnetic moment on the atom in μB.
Atoms (fractional coordinates):
Ni 0.5000 0.5000 0.0000  0.17
Ni 0.5000 0.5000 0.3396  0.64
Ni 0.0000 0.5000 0.8185  0.44
Ni 0.0000 0.5000 0.1815  0.44
Ni 0.5000 0.0000 0.5000  0.69
Ni 0.0000 0.5000 0.5000  0.69
Ni 0.5000 0.0000 0.1815  0.44
Ni 0.5000 0.5000 0.6604  0.64
Ni 0.5000 0.0000 0.8185  0.44
Fe 0.0000 0.0000 0.3396  2.92
Fe 0.0000 0.0000 0.6604  2.92
Sn 0.0000 0.0000 0.0000  -0.02

Properties
- space-group type = P4/mmm, No. 123
- total magnetization (μB per formula unit) = 10.046
- energy relative to the elements (meV/atom) = -104
- crystal system = tetragonal
- density of states at the Fermi level (states/eV/f.u.) = 8.44

Record 6
A geometry-optimized LiCa2HfSi structure. Source: Alexandria, functional PBE.

Unit cell a=5.8021 b=5.0434 c=5.8021 alpha=90.00 beta=90.00 gamma=90.00
Last column: magnetic moment on the atom in μB.
Atoms (fractional coordinates):
Li 0.0000 0.5000 0.0000  0.14
Si 0.5000 0.5000 0.5000  -0.19
Ca 0.5000 0.0000 0.0000  0.15
Ca 0.0000 0.0000 0.5000  0.23
Hf 0.0000 0.0000 0.0000  1.64

Properties
- space-group type = P4/mmm, No. 123
- E (eV/atom) = -2.93
- total magnetization (μB per formula unit) = 3.012
- crystal system = tetragonal
- density of states at the Fermi level (states/eV/f.u.) = 4.03

Q: Which formula does entry 5 have?
A: Fe2Ni9Sn